A plane-wave DFT calculation with PBE was carried out for an optimized crystal structure of CePr3Rh3. Values from VASP.

Values from the calculation:
Calculated volume   25.66 A^3/atom
ρ   8.1 Mg/m³
Formation energy   -0.57 eV per atom
Symmetry   No. 12
Density of states at the Fermi level   0.78 states/eV/atom

Cell and atoms, written as Quantum ESPRESSO input:
```
&SYSTEM
  ibrav = 0, nat = 14, ntyp = 3
/
ATOMIC_SPECIES
Ce 140.12 Ce.upf
Pr 140.91 Pr.upf
Rh 102.91 Rh.upf
ATOMIC_POSITIONS angstrom
Ce 2.2035 0.0000 1.0310
Ce 7.2064 0.0000 6.2422
Pr 4.7049 3.3744 3.6366
Pr 4.7819 2.5037 0.0000
Pr 3.1396 0.0000 4.5739
Pr 6.2703 0.0000 2.6993
Pr 4.7819 -2.5037 0.0000
Pr 4.7049 -3.3744 3.6366
Rh 2.4785 2.2377 2.1058
Rh 0.6018 0.0000 5.9310
Rh 2.4785 -2.2377 2.1058
Rh 6.9313 2.2377 5.1674
Rh 8.8080 0.0000 1.3422
Rh 6.9313 -2.2377 5.1674
CELL_PARAMETERS angstrom
4.7819 -5.1654 0.0000
4.7819 5.1654 0.0000
-0.1540 0.0000 7.2732
```